(1)
# Cs2PuNi3F12 | Alexandria | PBE with a Hubbard U | optimized geometry
data_Cs2PuNi3F12
_chemical_formula_sum 'Cs2 Pu1 Ni3 F12'
_space_group_name_H-M_alt 'P 1'
_space_group_IT_number 1
_space_group_name_Hall 'P 1'
_cell_length_a 7.776
_cell_length_b 7.776
_cell_length_c 7.776
_cell_angle_alpha 57.66
_cell_angle_beta 57.66
_cell_angle_gamma 57.66
loop_
_atom_site_label
_atom_site_fract_x
_atom_site_fract_y
_atom_site_fract_z
_atom_site_occupancy
F1 0.658 0.083 0.083 1
F2 0.917 0.917 0.342 1
F3 0.917 0.309 0.309 1
F4 0.691 0.083 0.691 1
F5 0.083 0.691 0.691 1
F6 0.691 0.691 0.083 1
F7 0.083 0.083 0.658 1
F8 0.083 0.658 0.083 1
F9 0.342 0.917 0.917 1
F10 0.309 0.309 0.917 1
F11 0.309 0.917 0.309 1
F12 0.917 0.342 0.917 1
Cs1 0.400 0.400 0.400 1
Cs2 0.600 0.600 0.600 1
Ni1 0.000 0.000 0.500 1
Ni2 0.000 0.500 0.000 1
Ni3 0.500 0.000 0.000 1
Pu1 0.000 0.000 0.000 1
# Space-group type   R-3m (166)
# Electronic total energy   -5.26 eV/atom
# Calculated density   4.825 g cm⁻³

***

(2)
# GaNi2SeO | Alexandria | PBE with a Hubbard U | optimized geometry
data_GaNi2SeO
_chemical_formula_sum 'Ga1 Ni2 Se1 O1'
_space_group_name_H-M_alt 'P 1'
_space_group_IT_number 1
_space_group_name_Hall 'P 1'
_cell_length_a 3.621
_cell_length_b 6.301
_cell_length_c 3.621
_cell_angle_alpha 90.00
_cell_angle_beta 90.00
_cell_angle_gamma 90.00
loop_
_atom_site_label
_atom_site_fract_x
_atom_site_fract_y
_atom_site_fract_z
_atom_site_occupancy
Se1 0.000 0.500 0.000 1
Ni1 0.000 0.000 0.500 1
Ni2 0.500 0.000 0.000 1
Ga1 0.500 0.500 0.500 1
O1 0.000 0.000 0.000 1
# Space-group type   P4/mmm (123)
# Electronic total energy   -3.04 eV/atom
# Calculated density   5.670 g cm⁻³